Material: Al2SnCl8
Method: DFT, PBE-GGA
State: relaxed

Geometry as CIF:
```
data_Al2SnCl8
_chemical_formula_sum 'Al8 Sn4 Cl32'
_cell_length_a 19.6583
_cell_length_b 7.3388
_cell_length_c 12.6852
_cell_angle_alpha 90.00
_cell_angle_beta 127.15
_cell_angle_gamma 90.00
_space_group_name_H-M_alt 'C 1 2/c 1'
_space_group_IT_number 15
loop_
_space_group_symop_operation_xyz
'x,y,z'
'-x,-y,-z'
'-x,y,-z+1/2'
'x,-y,z+1/2'
'x+1/2,y+1/2,z'
'-x+1/2,-y+1/2,-z'
'-x+1/2,y+1/2,-z+1/2'
'x+1/2,-y+1/2,z+1/2'
loop_
_atom_site_label
_atom_site_fract_x
_atom_site_fract_y
_atom_site_fract_z
Al1 0.0967 0.2293 0.1701
Sn1 0.0000 0.4235 0.7500
Cl1 0.0386 0.2944 0.4256
Cl2 0.1201 0.2356 0.0249
Cl3 0.1308 0.0261 0.7670
Cl4 0.1588 0.4589 0.3072
```

Magnetization in μB/cell: 0.0
V in Å³ per atom: 33.15
Theoretical density in Mg/m³: 2.08
Energy relative to the elements, uncorrected in eV/atom: -1.40